Entry 1:
First-principles (PBE) data for a relaxed CsNaSe2O8 crystal, as listed in Alexandria.

Cell lengths 5.796, 5.796, 8.976 Å; angles 90.00, 90.00, 120.00 degrees
Each line ends with the local moment (μB).
Element x y z (fractional)
Cs (0.000, 0.000, 0.000)  0.00
Na (0.000, 0.000, 0.500)  0.00
Se (0.667, 0.333, 0.263)  -0.04
Se (0.333, 0.667, 0.737)  -0.04
O (0.333, 0.667, 0.924)  0.18
O (0.352, 0.163, 0.323)  0.23
O (0.837, 0.189, 0.323)  0.23
O (0.667, 0.333, 0.076)  0.18
O (0.163, 0.811, 0.677)  0.23
O (0.648, 0.837, 0.677)  0.23
O (0.189, 0.352, 0.677)  0.23
O (0.811, 0.648, 0.323)  0.23

Computed properties:
The calculation puts the total magnetic moment at 2.03 μB per cell. The space-group type is P-3, No. 147. The calculation puts the total DFT energy (no corrections) at -4.873 eV per atom. As for the crystal system: trigonal.

***

Entry 2:
First-principles (PBE) data for a relaxed CsNaSi2O5 crystal, as listed in Alexandria.

Cell lengths 4.984, 13.539, 17.559 Å; angles 90.00, 90.00, 90.00 degrees
Element x y z (fractional)
Cs (0.732, 0.507, 0.264)
Cs (0.756, 0.641, 0.515)
Cs (0.244, 0.141, 0.485)
Cs (0.744, 0.641, 0.015)
Cs (0.232, 0.007, 0.236)
Cs (0.268, 0.007, 0.736)
Cs (0.768, 0.507, 0.764)
Cs (0.256, 0.141, 0.985)
Na (0.265, 0.735, 0.654)
Na (0.742, 0.913, 0.096)
Na (0.258, 0.413, 0.904)
Na (0.758, 0.913, 0.596)
Na (0.235, 0.735, 0.154)
Na (0.735, 0.235, 0.346)
Na (0.242, 0.413, 0.404)
Na (0.765, 0.235, 0.846)
Si (0.273, 0.688, 0.853)
Si (0.727, 0.188, 0.147)
Si (0.271, 0.861, 0.474)
Si (0.227, 0.688, 0.353)
Si (0.771, 0.361, 0.026)
Si (0.264, 0.459, 0.103)
Si (0.229, 0.861, 0.974)
Si (0.220, 0.286, 0.224)
Si (0.280, 0.286, 0.724)
Si (0.729, 0.361, 0.526)
Si (0.720, 0.786, 0.276)
Si (0.773, 0.188, 0.647)
Si (0.736, 0.959, 0.897)
Si (0.236, 0.459, 0.603)
Si (0.764, 0.959, 0.397)
Si (0.780, 0.786, 0.776)
O (0.687, 0.353, 0.939)
O (0.087, 0.737, 0.783)
O (0.921, 0.910, 0.967)
O (0.794, 0.895, 0.818)
O (0.813, 0.353, 0.439)
O (0.294, 0.395, 0.682)
O (0.206, 0.395, 0.182)
O (0.785, 0.252, 0.068)
O (0.921, 0.435, 0.578)
O (0.781, 0.074, 0.884)
O (0.313, 0.853, 0.061)
O (0.715, 0.252, 0.568)
O (0.215, 0.752, 0.932)
O (0.912, 0.712, 0.329)
O (0.079, 0.410, 0.033)
O (0.219, 0.574, 0.116)
O (0.413, 0.737, 0.283)
O (0.694, 0.794, 0.689)
O (0.194, 0.294, 0.811)
O (0.719, 0.074, 0.384)
O (0.587, 0.237, 0.717)
O (0.421, 0.935, 0.922)
O (0.285, 0.752, 0.432)
O (0.806, 0.794, 0.189)
O (0.913, 0.237, 0.217)
O (0.706, 0.895, 0.318)
O (0.281, 0.574, 0.616)
O (0.588, 0.712, 0.829)
O (0.270, 0.573, 0.366)
O (0.770, 0.073, 0.134)
O (0.187, 0.853, 0.561)
O (0.579, 0.910, 0.467)
O (0.412, 0.212, 0.171)
O (0.230, 0.573, 0.866)
O (0.088, 0.212, 0.671)
O (0.730, 0.073, 0.634)
O (0.079, 0.935, 0.422)
O (0.421, 0.410, 0.533)
O (0.579, 0.435, 0.078)
O (0.306, 0.294, 0.311)

Computed properties:
The calculation puts the total magnetic moment at 0.04 μB per cell. The space-group type is Pna2_1, No. 33. The calculation puts the total DFT energy (no corrections) at -6.727 eV per atom. As for the crystal system: orthorhombic.

***

Entry 3:
First-principles (PBE) data for a relaxed Cs2NaSiO4 crystal, as listed in Alexandria.

Cell lengths 5.461, 6.685, 11.597 Å; angles 84.48, 76.38, 65.89 degrees
Each line ends with the local moment (μB).
Element x y z (fractional)
Cs (0.176, 0.000, 0.649)  0.00
Cs (0.824, 0.000, 0.351)  0.00
Cs (0.574, 0.500, 0.851)  0.00
Cs (0.926, 0.500, 0.149)  0.00
Na (0.750, 0.500, 0.500)  0.00
Na (0.000, 0.000, 0.000)  0.00
Si (0.250, 0.500, 0.500)  -0.02
Si (0.500, 0.000, 0.000)  -0.02
O (0.365, 0.838, 0.082)  0.21
O (0.285, 0.162, 0.918)  0.21
O (0.797, 0.838, 0.918)  0.21
O (0.553, 0.162, 0.082)  0.21
O (0.385, 0.662, 0.418)  0.21
O (0.465, 0.338, 0.582)  0.21
O (0.953, 0.662, 0.582)  0.21
O (0.197, 0.338, 0.418)  0.21

Computed properties:
The calculation puts the total magnetic moment at 2.03 μB per cell. The space-group type is Fddd, No. 70. The calculation puts the total DFT energy (no corrections) at -5.365 eV per atom. As for the crystal system: orthorhombic.

***

Number 1: raw formation energy -806 meV per atom. Number 2: raw formation energy -2526 meV per atom. Number 3: raw formation energy -1830 meV per atom.